Here is crystalline PIr2Se at its relaxed geometry from Alexandria via LeMat-Bulk. Energies are from PBE.

Summary:
- Energy relative to the elements, uncorrected: 0.407 eV/atom
- Uncorrected energy: -6.247 eV per atom
- Total magnetic moment: 0.00 μB per atom

a b c (Å): 4.3989 4.3989 4.3989
angles (deg): 60.00 60.00 60.00
With the nearest neighbours (Å) after each atom.
Fractional positions:
Ir (0.2500, 0.2500, 0.2500)  4 Se 2.69, 4 P 2.69
Ir (0.7500, 0.7500, 0.7500)  4 Se 2.69, 4 P 2.69
Se (0.5000, 0.5000, 0.5000)  8 Ir 2.69
P (0.0000, 0.0000, 0.0000)  8 Ir 2.69